Entry from Alexandria: HfTiIr after structural relaxation (PBE).

Computed properties:
ΔE to the lowest computed polymorph = 0 meV per atom
D(E_F) = 0.7828 states/eV per atom
formation enthalpy at 0 K = -776 meV/atom
SG = No. 74

Cell lengths 5.2295, 5.2295, 5.2295 Å; angles 119.06, 116.80, 93.63 degrees
Positions (direct):
Hf (0.3806, 0.1306, 0.2500)
Hf (0.6194, 0.8694, 0.7500)
Ti (0.0000, 0.0000, 0.5000)
Ti (0.0000, 0.5000, 0.0000)
Ir (0.0000, 0.5000, 0.5000)
Ir (0.5000, 0.5000, 0.0000)

=====

Entry from Alexandria: YPuTe2S after structural relaxation (PBE).

Computed properties:
formation energy (no corrections) = -0.888 eV/atom
D(E_F) = 1.8380 states/eV per atom
SG = No. 129

Cell lengths 4.3296, 4.3296, 15.0096 Å; angles 90.00, 90.00, 90.00 degrees
Positions (direct):
Y (0.2500, 0.2500, 0.0961)
Y (0.7500, 0.7500, 0.9039)
Pu (0.2500, 0.2500, 0.6049)
Pu (0.7500, 0.7500, 0.3951)
Te (0.2500, 0.2500, 0.3010)
Te (0.2500, 0.2500, 0.8870)
Te (0.7500, 0.7500, 0.1130)
Te (0.7500, 0.7500, 0.6990)
S (0.2500, 0.7500, 0.5000)
S (0.7500, 0.2500, 0.5000)

=====

Entry from Alexandria: BeTlBr2 after structural relaxation (PBE).

Computed properties:
ΔE to the lowest computed polymorph = 19 meV per atom
formation energy (no corrections) = -0.454 eV/atom
D(E_F) = 0.2279 states/eV per atom
SG = No. 166

Cell lengths 11.5367, 11.5367, 11.5367 Å; angles 17.33, 17.33, 17.33 degrees
Positions (direct):
Be (0.0000, 0.0000, 0.0000)
Tl (0.5000, 0.5000, 0.5000)
Br (0.3738, 0.3738, 0.3738)
Br (0.6262, 0.6262, 0.6262)

=====

Entry from Alexandria: DyPuTlPb after structural relaxation (PBE).

Computed properties:
ΔE to the lowest computed polymorph = 3 meV per atom
D(E_F) = 2.7602 states/eV per atom
formation enthalpy at 0 K = -199 meV/atom
SG = No. 216

Cell lengths 5.4223, 5.4223, 5.4223 Å; angles 60.00, 60.00, 60.00 degrees
Positions (direct):
Dy (0.0000, 0.0000, 0.0000)
Pu (0.5000, 0.5000, 0.5000)
Tl (0.2500, 0.2500, 0.2500)
Pb (0.7500, 0.7500, 0.7500)